# CuGe

CuGe after structural relaxation (PBE, Alexandria via LeMat-Bulk).

* total energy: -32.62 eV/cell

```
data_CuGe
_chemical_formula_sum 'Cu4 Ge4'
_cell_length_a 4.9502
_cell_length_b 4.9502
_cell_length_c 5.2982
_cell_angle_alpha 90.00
_cell_angle_beta 90.00
_cell_angle_gamma 90.00
_symmetry_space_group_name_H-M 'P 42/m n m'
_symmetry_Int_Tables_number 136
_symmetry_space_group_name_Hall '-P 4n 2n'
loop_
_atom_site_label
_atom_site_fract_x
_atom_site_fract_y
_atom_site_fract_z
Cu1 0.1971 0.1971 0.0000
Ge1 0.2015 0.2015 0.5000
```